Entry 1:
{
  "formula": "Sn2HgP2",
  "functional": "PBE-GGA",
  "state": "relaxed",
  "cell": [[-2.6502, 2.6502, 4.2721], [2.6502, -2.6502, 4.2721], [2.6502, 2.6502, -4.2721]],
  "species": ["Sn", "Sn", "Hg", "P", "P"],
  "frac_coords": [[0.2500, 0.7500, 0.5000], [0.7500, 0.2500, 0.5000], [0.0000, 0.0000, 0.0000], [0.3712, 0.3712, 0.0000], [0.6288, 0.6288, 0.0000]],
  "formation_energy_mev_per_atom": 124.8,
  "crystal_system": "tetragonal",
  "polymorph_energy_mev_per_atom": 0
}

=====

Entry 2:
{
  "formula": "TiAlNi2",
  "functional": "PBE-GGA",
  "state": "relaxed",
  "cell": [[-1.8748, 1.8748, 8.1814], [1.8748, -1.8748, 8.1814], [1.8748, 1.8748, -8.1814]],
  "species": ["Ti", "Ti", "Al", "Al", "Ni", "Ni", "Ni", "Ni"],
  "frac_coords": [[0.0000, 0.0000, 0.0000], [0.7500, 0.2500, 0.5000], [0.2500, 0.7500, 0.5000], [0.5000, 0.5000, 0.0000], [0.1400, 0.6250, 0.0150], [0.3750, 0.3900, 0.5150], [0.6100, 0.1250, 0.9850], [0.8750, 0.8600, 0.4850]],
  "formation_energy_mev_per_atom": 8.0,
  "crystal_system": "tetragonal"
}

=====

Entry 3:
{
  "formula": "Pm2PrGeN4",
  "functional": "PBE-GGA",
  "state": "relaxed",
  "cell": [[1.8134, -5.8651, 0.0000], [1.8134, 5.8651, 0.0000], [0.0000, 0.0000, 11.9859]],
  "species": ["Pm", "Pm", "Pm", "Pm", "Pr", "Pr", "Ge", "Ge", "N", "N", "N", "N", "N", "N", "N", "N"],
  "frac_coords": [[0.1306, 0.8694, 0.5443], [0.1306, 0.8694, 0.9557], [0.8694, 0.1306, 0.0443], [0.8694, 0.1306, 0.4557], [0.3997, 0.6003, 0.7500], [0.6003, 0.3997, 0.2500], [0.3347, 0.6653, 0.2500], [0.6653, 0.3347, 0.7500], [0.0805, 0.9195, 0.7500], [0.2279, 0.7721, 0.1308], [0.2279, 0.7721, 0.3692], [0.5000, 0.5000, 0.0000], [0.5000, 0.5000, 0.5000], [0.7721, 0.2279, 0.6308], [0.7721, 0.2279, 0.8692], [0.9195, 0.0805, 0.2500]],
  "crystal_system": "orthorhombic",
  "e_form_raw_ev_per_fu": -7.52
}

=====

| no. | raw total energy (eV per atom) |
| --- | --- |
| 1 | -3.70 |
| 2 | -5.79 |
| 3 | -7.46 |